# BeGaTe3 (PBE, optimized geometry)
data_BeGaTe3
_chemical_formula_sum 'Be1 Ga1 Te3'
_cell_length_a 5.070
_cell_length_b 5.070
_cell_length_c 5.070
_cell_angle_alpha 90.00
_cell_angle_beta 90.00
_cell_angle_gamma 90.00
_space_group_name_H-M_alt 'P 1'
_space_group_IT_number 1
loop_
_space_group_symop_operation_xyz
'x,y,z'
loop_
_atom_site_label
_atom_site_type_symbol
_atom_site_fract_x
_atom_site_fract_y
_atom_site_fract_z
Te1 Te 0.500 0.000 0.000
Te2 Te 0.000 0.000 0.500
Ga1 Ga 0.500 0.500 0.500
Be1 Be 0.000 0.000 0.000
Te3 Te 0.000 0.500 0.000
# **Calculated total energy**: -2.978 eV per atom
# **Distance to the lowest polymorph of the same formula**: 0 meV/atom
# **N(E_F)**: 3.99 states/eV/f.u.
# **ΔE_f (raw)**: 25 kJ per mole of atoms
# **Size of the total moment**: 0.00 μB/f.u.

# Li4Ag3Sn4 (PBE, optimized geometry)
data_Li4Ag3Sn4
_chemical_formula_sum 'Li4 Ag3 Sn4'
_cell_length_a 3.260
_cell_length_b 4.843
_cell_length_c 14.946
_cell_angle_alpha 80.69
_cell_angle_beta 102.41
_cell_angle_gamma 89.96
_space_group_name_H-M_alt 'P 1'
_space_group_IT_number 1
loop_
_space_group_symop_operation_xyz
'x,y,z'
loop_
_atom_site_label
_atom_site_type_symbol
_atom_site_fract_x
_atom_site_fract_y
_atom_site_fract_z
Sn1 Sn 0.345 0.079 0.837
Ag1 Ag 0.765 0.364 0.275
Sn2 Sn 0.655 0.921 0.163
Ag2 Ag 0.000 0.000 0.000
Li1 Li 0.684 0.165 0.670
Ag3 Ag 0.235 0.636 0.725
Li2 Li 0.893 0.556 0.884
Li3 Li 0.107 0.444 0.116
Sn3 Sn 0.563 0.722 0.557
Sn4 Sn 0.437 0.278 0.443
Li4 Li 0.316 0.835 0.330
# **Calculated total energy**: -3.146 eV per atom
# **N(E_F)**: 3.29 states/eV/f.u.
# **Size of the total moment**: 0.00 μB/f.u.

# BaSr3Pd (PBE, optimized geometry)
data_BaSr3Pd
_chemical_formula_sum 'Ba2 Sr6 Pd2'
_cell_length_a 7.567
_cell_length_b 9.872
_cell_length_c 9.889
_cell_angle_alpha 108.14
_cell_angle_beta 130.48
_cell_angle_gamma 58.35
_space_group_name_H-M_alt 'P 1'
_space_group_IT_number 1
loop_
_space_group_symop_operation_xyz
'x,y,z'
loop_
_atom_site_label
_atom_site_type_symbol
_atom_site_fract_x
_atom_site_fract_y
_atom_site_fract_z
Pd1 Pd 0.675 0.517 0.897
Sr1 Sr 0.227 0.330 0.013
Sr2 Sr 0.614 0.208 0.774
Sr3 Sr 0.370 0.962 0.279
Sr4 Sr 0.112 0.716 0.776
Ba1 Ba 0.486 0.588 0.524
Ba2 Ba 0.858 0.462 0.267
Sr5 Sr 0.989 0.080 0.514
Sr6 Sr 0.728 0.831 0.004
Pd2 Pd 0.545 0.906 0.640
# **Calculated total energy**: -2.725 eV per atom
# **Distance to the lowest polymorph of the same formula**: 6 meV/atom
# **N(E_F)**: 3.05 states/eV/f.u.
# **Size of the total moment**: 0.00 μB/f.u.

# KSe2Br (PBE, optimized geometry)
data_KSe2Br
_chemical_formula_sum 'K1 Se2 Br1'
_cell_length_a 6.315
_cell_length_b 6.315
_cell_length_c 6.315
_cell_angle_alpha 143.62
_cell_angle_beta 122.18
_cell_angle_gamma 70.26
_space_group_name_H-M_alt 'P 1'
_space_group_IT_number 1
loop_
_space_group_symop_operation_xyz
'x,y,z'
loop_
_atom_site_label
_atom_site_type_symbol
_atom_site_fract_x
_atom_site_fract_y
_atom_site_fract_z
K1 K 0.276 0.776 0.500
Br1 Br 0.549 0.549 0.000
Se1 Se 0.915 0.915 0.000
Se2 Se 0.760 0.260 0.500
# **Calculated total energy**: -3.030 eV per atom
# **Distance to the lowest polymorph of the same formula**: 94 meV/atom
# **N(E_F)**: 1.32 states/eV/f.u.
# **ΔE_f (raw)**: -57 kJ per mole of atoms
# **Size of the total moment**: 0.00 μB/f.u.